(A)
Nd2MgFe | the Alexandria database | PBE-GGA | relaxed; SG = P4/mmm; magnetization = 0.40 μB/atom
1.0
-0.8432 2.0426 -2.7765
-0.7553 -2.8984 -1.9029
-7.8030 0.3220 2.6066
Mg Nd Fe
1 2 1
direct
0.5000 0.5000 0.5000 Mg
0.0000 0.0000 0.7943 Nd
0.0000 0.0000 0.2057 Nd
0.5000 0.5000 0.0000 Fe

---

(B)
Nd2MgFe | the Alexandria database | PBE-GGA | relaxed; SG = R-3m; magnetization = 0.31 μB/atom
1.0
-1.7157 -1.3696 2.7897
-0.4194 -3.5143 0.2754
8.4848 -2.3084 6.3436
Fe Nd Mg
1 2 1
direct
0.5000 0.5000 0.5000 Fe
0.8925 0.8925 0.3224 Nd
0.1075 0.1075 0.6776 Nd
0.0000 0.0000 0.0000 Mg

---

Which of them is the most stable? Correct choice: (A).

---

(A)
MgFeNi | the Alexandria database | PBE-GGA | relaxed; SG = P3m1; magnetization = 1.01 μB/atom
1.0
-2.9950 -0.5195 -2.8730
0.8599 -3.0731 2.7038
-1.7963 0.9877 1.6939
Ni Fe Mg
1 1 1
direct
0.3333 0.6667 0.7335 Ni
0.0000 0.0000 0.9243 Fe
0.6667 0.3333 0.3422 Mg

---

(B)
MgFeNi | the Alexandria database | PBE-GGA | relaxed; SG = I4mm; magnetization = 0.93 μB/atom
1.0
-3.5529 1.0584 4.2502
-4.0021 -2.6151 2.9901
5.1268 0.1747 -2.3412
Fe Mg Ni
1 1 1
direct
0.0160 0.0158 0.0002 Fe
0.3290 0.3290 0.0000 Mg
0.6549 0.6552 0.9998 Ni

---

(C)
MgFeNi | the Alexandria database | PBE-GGA | relaxed; SG = Pmmn; magnetization = 0.94 μB/atom
1.0
2.8719 0.0000 0.0000
0.0000 4.0982 0.0000
0.0000 0.0000 7.0967
Mg Ni Fe
2 2 2
direct
0.0000 0.5000 0.3618 Mg
0.5000 0.0000 0.6382 Mg
0.0000 0.5000 0.7450 Ni
0.5000 0.0000 0.2550 Ni
0.0000 0.0000 0.9878 Fe
0.5000 0.5000 0.0122 Fe

---

Which of them is the most stable? Correct choice: (C).

---

(A)
MgFe3Ni | the Alexandria database | PBE-GGA | relaxed; SG = Pm-3m; magnetization = 1.67 μB/atom
1.0
-1.8404 2.3652 -3.1554
-2.2228 -3.4984 -1.3258
-3.2572 1.0510 2.6876
Fe Ni Mg
3 1 1
direct
0.0000 0.0000 0.5000 Fe
0.5000 0.0000 0.0000 Fe
0.0000 0.5000 0.0000 Fe
0.5000 0.5000 0.5000 Ni
0.0000 0.0000 0.0000 Mg

---

(B)
MgFe3Ni | the Alexandria database | PBE-GGA | relaxed; SG = Pm-3m; magnetization = 1.86 μB/atom
1.0
4.3745 0.0000 0.0000
0.0000 4.3745 0.0000
0.0000 0.0000 4.3745
Fe Mg Ni
3 1 1
direct
0.5000 0.0000 0.0000 Fe
0.0000 0.0000 0.5000 Fe
0.0000 0.5000 0.0000 Fe
0.5000 0.5000 0.5000 Mg
0.0000 0.0000 0.0000 Ni

---

Which of them is the most stable? Correct choice: (B).